Below is a geometry-optimized HfUFeO6 structure, with properties calculated at the GGA+U level.

POSCAR file:
```
HfUFeO6
1.0
5.5216 0.0000 0.0000
-2.7608 4.7819 0.0000
0.0000 0.0000 8.8600
O Fe Hf U
12 2 2 2
Direct
0.3409 0.3372 0.8692
0.3409 0.0036 0.6308
0.0036 0.6628 0.3692
0.9964 0.3372 0.6308
0.6628 0.0036 0.8692
0.3372 0.9964 0.1308
0.0036 0.3409 0.1308
0.6591 0.9964 0.3692
0.9964 0.6591 0.8692
0.3372 0.3409 0.3692
0.6628 0.6591 0.6308
0.6591 0.6628 0.1308
0.0000 0.0000 0.5000
0.0000 0.0000 0.0000
0.6667 0.3333 0.7500
0.3333 0.6667 0.2500
0.6667 0.3333 0.2500
0.3333 0.6667 0.7500
```

- Space-group type: P-31c (163)
- E_tot: -80.53 eV per formula unit